1.
Crystalline ZrBiH2 at its relaxed geometry, computed with PBE.

Summary:
offset from the most stable computed form: 3.35 eV per formula unit
space group: Fm-3m (225)

a = 4.339 Å, b = 4.339 Å, c = 4.339 Å
α = 60.00°, β = 60.00°, γ = 60.00°
Element x y z (fractional)
Zr1 0.000 0.000 0.000
Bi1 0.500 0.500 0.500
H1 0.250 0.250 0.250
H2 0.750 0.750 0.750

---

2.
Crystalline MnNb2Co6 at its relaxed geometry, computed with PBE.

Summary:
DFT formation energy: -0.010 eV/atom
space group: C2/m (12)

a = 4.905 Å, b = 4.905 Å, c = 5.369 Å
α = 90.24°, β = 90.24°, γ = 59.91°
Element x y z (fractional)
Mn1 0.000 0.000 0.000
Nb1 0.333 0.333 0.860
Nb2 0.667 0.667 0.140
Co1 0.175 0.175 0.327
Co2 0.175 0.652 0.326
Co3 0.348 0.825 0.674
Co4 0.652 0.175 0.326
Co5 0.825 0.348 0.674
Co6 0.825 0.825 0.673